No. 1
Entry from the Alexandria database: a relaxed TePbIF2 crystal (PBE-GGA).

Results
Calculated total energy, Ry/atom: -0.22124
ΔE_f (raw), eV per atom: -0.58

a = 4.749 Å, b = 4.749 Å, c = 6.165 Å
α = 90.00°, β = 90.00°, γ = 90.00°
Space group P4/mmm (No. 123)
Inequivalent atoms, fractional coordinates:
Te: 0.000 0.000 0.000 (multiplicity 1)
Pb: 0.500 0.500 0.000 (multiplicity 1)
I: 0.000 0.000 0.500 (multiplicity 1)
F: 0.000 0.500 0.500 (multiplicity 2)



No. 2
Entry from the Alexandria database: a relaxed Te2PbIF crystal (PBE-GGA).

Results
Calculated total energy, Ry/atom: -0.21660
ΔE to the lowest computed polymorph, meV/atom: 14
ΔE_f (raw), eV per atom: -0.26

a = 6.041 Å, b = 6.041 Å, c = 4.543 Å
α = 90.00°, β = 90.00°, γ = 90.00°
Space group P4/mmm (No. 123)
Inequivalent atoms, fractional coordinates:
Te: 0.000 0.500 0.000 (multiplicity 2)
Pb: 0.000 0.000 0.000 (multiplicity 1)
I: 0.500 0.500 0.500 (multiplicity 1)
F: 0.000 0.000 0.500 (multiplicity 1)



No. 3
Entry from the Alexandria database: a relaxed TlPbIF2 crystal (PBE-GGA).

Results
Calculated total energy, Ry/atom: -0.28052
ΔE_f (raw), eV per atom: -1.54

a = 4.861 Å, b = 4.861 Å, c = 6.724 Å
α = 90.00°, β = 90.00°, γ = 90.00°
Space group P4/mmm (No. 123)
Inequivalent atoms, fractional coordinates:
Tl: 0.000 0.000 0.000 (multiplicity 1)
Pb: 0.500 0.500 0.500 (multiplicity 1)
I: 0.500 0.500 0.000 (multiplicity 1)
F: 0.000 0.500 0.500 (multiplicity 2)



No. 4
Entry from the Alexandria database: a relaxed YPbI2F crystal (PBE-GGA).

Results
Calculated total energy, Ry/atom: -0.23717
ΔE_f (raw), eV per atom: -0.20

a = 6.009 Å, b = 6.009 Å, c = 6.097 Å
α = 90.00°, β = 90.00°, γ = 90.00°
Space group P4/mmm (No. 123)
Inequivalent atoms, fractional coordinates:
Y: 0.000 0.000 0.000 (multiplicity 1)
Pb: 0.000 0.000 0.500 (multiplicity 1)
I: 0.000 0.500 0.500 (multiplicity 2)
F: 0.500 0.500 0.000 (multiplicity 1)



No. 5
Entry from the Alexandria database: a relaxed ZnPb2IF crystal (PBE-GGA).

Results
Calculated total energy, Ry/atom: -0.21566
ΔE_f (raw), eV per atom: -0.51

a = 5.683 Å, b = 5.683 Å, c = 4.196 Å
α = 90.00°, β = 90.00°, γ = 90.00°
Space group P4/mmm (No. 123)
Inequivalent atoms, fractional coordinates:
Zn: 0.000 0.000 0.000 (multiplicity 1)
Pb: 0.000 0.500 0.000 (multiplicity 2)
I: 0.500 0.500 0.500 (multiplicity 1)
F: 0.000 0.000 0.500 (multiplicity 1)



No. 6
Entry from the Alexandria database: a relaxed Zr2PbIF crystal (PBE-GGA).

Results
Calculated total energy, Ry/atom: -0.34808
ΔE_f (raw), eV per atom: 0.11

a = 5.373 Å, b = 5.373 Å, c = 4.572 Å
α = 90.00°, β = 90.00°, γ = 90.00°
Space group P4/mmm (No. 123)
Inequivalent atoms, fractional coordinates:
Zr: 0.000 0.500 0.000 (multiplicity 2)
Pb: 0.000 0.000 0.500 (multiplicity 1)
I: 0.500 0.500 0.000 (multiplicity 1)
F: 0.500 0.500 0.500 (multiplicity 1)